DFT (PBE) results for a relaxed Cs2RbTlBr5 crystal.

- energy relative to the elements, uncorrected (meV per atom) = -1373.9
- magnetization (μB per atom) = 0.0000
- total energy (eV per atom) = -2.86
- space-group type = Cmc2_1

a = 5.3054 Å, b = 10.5641 Å, c = 14.6425 Å
α = 90.00°, β = 90.00°, γ = 104.54°
Atoms (fractional coordinates):
Br  0.0362  0.0724  0.0183
Br  0.5153  0.0306  0.2672
Br  0.9638  0.9276  0.5183
Br  0.4847  0.9694  0.7672
Cs  0.8885  0.7769  0.1939
Rb  0.7897  0.5794  0.5226
Br  0.2862  0.5724  0.6736
Br  0.6652  0.3304  0.8756
Cs  0.1457  0.2915  0.3183
Tl  0.4737  0.9474  0.4498
Br  0.3789  0.7578  0.0046
Br  0.6211  0.2422  0.5046
Cs  0.1115  0.2231  0.6939
Br  0.7138  0.4276  0.1736
Tl  0.5263  0.0526  0.9498
Br  0.3348  0.6696  0.3756
Rb  0.2103  0.4206  0.0226
Cs  0.8543  0.7085  0.8183